Crystalline TaCdSb2I at its relaxed geometry, computed with PBE-GGA.

Unit cell a=5.3843 b=5.3843 c=5.7123 alpha=90.00 beta=90.00 gamma=90.00
Space group P4/mmm (No. 123)
Asymmetric unit:
Ta 0.0000 0.0000 0.0000 (multiplicity 1)
Cd 0.5000 0.5000 0.5000 (multiplicity 1)
Sb 0.0000 0.5000 0.5000 (multiplicity 2)
I 0.5000 0.5000 0.0000 (multiplicity 1)

Values from the calculation:
ΔE to the lowest computed polymorph: 1075 meV/atom
Total moment: 0.468 μB/atom
Formation energy (no corrections): 33.59 kcal/mol of atoms